(1)
Here is a geometry-optimized Pm8Nd4Tm structure from the Alexandria database. Energies are from GGA-PBE.

Values from the calculation:
DOS(E_F) = 20.74 states/eV/cell
total moment = 1.22 μB per cell
E_tot = -4.253 eV/atom
formation enthalpy at 0 K = 0.48 eV/atom

Cell: 11.2707 11.2707 7.9138 Å, 90.00 135.41 120.00°
Atoms (fractional coordinates):
Pm1 0.5241 0.7620 0.2861
Pm2 0.0100 0.7634 0.7734
Pm3 0.4732 0.2366 0.2266
Pm4 0.4759 0.2380 0.7139
Pm5 0.5268 0.7634 0.7734
Pm6 0.9900 0.7534 0.2266
Pm7 0.9900 0.2366 0.2266
Pm8 0.0100 0.2466 0.7734
Nd1 0.5000 0.0000 0.0000
Nd2 0.0000 0.0000 0.0000
Nd3 0.5000 0.5000 0.0000
Nd4 0.0000 0.5000 0.0000
Tm1 0.0000 0.5000 0.5000

(2)
Here is a geometry-optimized TbEr3Rh structure from the Alexandria database. Energies are from GGA-PBE.

Values from the calculation:
DOS(E_F) = 7.74 states/eV/cell
total moment = 0.00 μB per cell
E_tot = -5.379 eV/atom
formation enthalpy at 0 K = -0.25 eV/atom

Cell: 5.3588 5.3588 5.3588 Å, 90.00 90.00 90.00°
Atoms (fractional coordinates):
Er1 0.0000 0.0000 0.5000
Er2 0.0000 0.5000 0.0000
Er3 0.5000 0.0000 0.0000
Rh1 0.0000 0.0000 0.0000
Tb1 0.5000 0.5000 0.5000

(3)
Here is a geometry-optimized SrCa3Ga structure from the Alexandria database. Energies are from GGA-PBE.

Values from the calculation:
DOS(E_F) = 4.24 states/eV/cell
total moment = 0.95 μB per cell
E_tot = -2.250 eV/atom
formation enthalpy at 0 K = -0.11 eV/atom

Cell: 5.9227 5.9227 5.9227 Å, 90.00 90.00 90.00°
Atoms (fractional coordinates):
Ca1 0.5000 0.0000 0.0000
Ca2 0.0000 0.5000 0.0000
Ca3 0.0000 0.0000 0.5000
Ga1 0.0000 0.0000 0.0000
Sr1 0.5000 0.5000 0.5000

(4)
Here is a geometry-optimized Cd2FeOs structure from the Alexandria database. Energies are from GGA-PBE.

Values from the calculation:
DOS(E_F) = 2.82 states/eV/cell
total moment = 3.27 μB per cell
E_tot = -4.831 eV/atom
formation enthalpy at 0 K = 0.55 eV/atom

Cell: 5.3509 5.3509 5.3509 Å, 145.07 130.87 61.70°
Atoms (fractional coordinates):
Fe1 0.7500 0.2500 0.5000
Os1 0.2500 0.7500 0.5000
Cd1 0.9912 0.9912 0.0000
Cd2 0.5088 0.5088 0.0000